# 1
Entry from OQMD: a relaxed GdTmGa2Cu4 crystal (PBE-GGA).

Unit cell a=4.2689 b=4.2689 c=8.6319 alpha=90.00 beta=90.00 gamma=120.00
Space group P-6m2 (No. 187)
Inequivalent atoms, fractional coordinates:
1 Gd 0.0000 0.0000 0.0000 x1
2 Tm 0.3333 0.6667 0.5000 x1
3 Ga 0.6667 0.3333 0.2538 x2
4 Cu 0.0000 0.0000 0.3358 x2
5 Cu 0.3333 0.6667 0.1772 x2

Results
Total moment   0.003 μB/atom

# 2
Entry from OQMD: a relaxed GdYGa2Cu4 crystal (PBE-GGA).

Unit cell a=4.2762 b=4.2762 c=8.7463 alpha=90.00 beta=90.00 gamma=120.00
Space group P-6m2 (No. 187)
Inequivalent atoms, fractional coordinates:
1 Gd 0.0000 0.0000 0.0000 x1
2 Y 0.3333 0.6667 0.5000 x1
3 Ga 0.6667 0.3333 0.2528 x2
4 Cu 0.0000 0.0000 0.3283 x2
5 Cu 0.3333 0.6667 0.1729 x2

Results
Total moment   0.002 μB/atom

# 3
Entry from OQMD: a relaxed Ga2CuGe2 crystal (PBE-GGA).

Unit cell a=4.344 b=4.344 c=10.488 alpha=90.00 beta=90.00 gamma=90.00
Space group I4/mmm (No. 139)
Inequivalent atoms, fractional coordinates:
1 Ga 0.000 0.500 0.250 x4
2 Cu 0.000 0.000 0.000 x2
3 Ge 0.000 0.000 0.386 x4

Results
Offset from the most stable computed form   0.000 eV/atom

# 4
Entry from OQMD: a relaxed Ga2CuGe crystal (PBE-GGA).

Unit cell a=6.491 b=6.491 c=6.491 alpha=90.00 beta=90.00 gamma=90.00
Space group F-43m (No. 216)
Inequivalent atoms, fractional coordinates:
1 Ga 0.000 0.000 0.000 x4
2 Ga 0.250 0.250 0.250 x4
3 Cu 0.250 0.250 0.750 x4
4 Ge 0.000 0.000 0.500 x4

# 5
Entry from OQMD: a relaxed GaCuGe2 crystal (PBE-GGA).

Unit cell a=6.494 b=6.494 c=6.494 alpha=90.00 beta=90.00 gamma=90.00
Space group F-43m (No. 216)
Inequivalent atoms, fractional coordinates:
1 Ga 0.000 0.000 0.000 x4
2 Cu 0.250 0.250 0.250 x4
3 Ge 0.000 0.000 0.500 x4
4 Ge 0.250 0.250 0.750 x4

# 6
Entry from OQMD: a relaxed Ho2ScGa3CuGe2 crystal (PBE-GGA).

Unit cell a=4.077 b=11.885 c=6.989 alpha=90.00 beta=90.00 gamma=90.00
Space group Amm2 (No. 38)
Inequivalent atoms, fractional coordinates:
1 Ho 0.000 0.201 0.000 x4
2 Sc 0.000 0.000 0.604 x2
3 Ga 0.500 0.000 0.970 x2
4 Ga 0.500 0.118 0.323 x4
5 Cu 0.000 0.000 0.216 x2
6 Ge 0.500 0.160 0.701 x4

Results
Total moment   0.000 μB/atom

Number 1: uncorrected energy -4.125 eV/atom. Number 2: uncorrected energy -4.369 eV/atom. Number 3: uncorrected energy -3.411 eV/atom. Number 4: uncorrected energy -3.422 eV/atom. Number 5: uncorrected energy -3.740 eV/atom. Number 6: uncorrected energy -4.794 eV/atom.